[1]
# Na2FeH8S2O12 | the Alexandria database | GGA-PBEsol | optimized geometry
# Space group: No. 14
# Total energy: -5.7279 eV/atom
data_Na2FeH8S2O12
_cell_length_a 5.4732
_cell_length_b 8.2283
_cell_length_c 11.0647
_cell_angle_alpha 90.00
_cell_angle_beta 99.68
_cell_angle_gamma 90.00
_space_group_name_H-M_alt 'P 1'
_space_group_IT_number 1
_space_group_name_Hall 'P 1'
loop_
_atom_site_label
_atom_site_type_symbol
_atom_site_fract_x
_atom_site_fract_y
_atom_site_fract_z
Na1 Na 0.1147 0.0758 0.3630
Na2 Na 0.1147 0.4242 0.8630
Na3 Na 0.8853 0.5758 0.1370
Na4 Na 0.8853 0.9242 0.6370
Fe1 Fe 0.0000 0.0000 0.0000
Fe2 Fe 0.0000 0.5000 0.5000
H1 H 0.2244 0.6380 0.3423
H2 H 0.2244 0.8620 0.8423
H3 H 0.2381 0.0569 0.8147
H4 H 0.2381 0.4431 0.3147
H5 H 0.2451 0.7252 0.0084
H6 H 0.2451 0.7748 0.5084
H7 H 0.3360 0.7019 0.6391
H8 H 0.3360 0.7981 0.1391
H9 H 0.6640 0.2019 0.8609
H10 H 0.6640 0.2981 0.3609
H11 H 0.7549 0.2252 0.4916
H12 H 0.7549 0.2748 0.9916
H13 H 0.7619 0.5569 0.6853
H14 H 0.7619 0.9431 0.1853
H15 H 0.7756 0.1380 0.1577
H16 H 0.7756 0.3620 0.6577
S1 S 0.3834 0.2123 0.6364
S2 S 0.3834 0.2877 0.1364
S3 S 0.6166 0.7123 0.8636
S4 S 0.6166 0.7877 0.3636
O1 O 0.1272 0.5339 0.3341
O2 O 0.1272 0.9661 0.8341
O3 O 0.1832 0.7165 0.5765
O4 O 0.1832 0.7835 0.0765
O5 O 0.2221 0.0822 0.5779
O6 O 0.2221 0.4178 0.0779
O7 O 0.3208 0.1282 0.0767
O8 O 0.3208 0.3718 0.5767
O9 O 0.3499 0.6772 0.8713
O10 O 0.3499 0.8228 0.3713
O11 O 0.3655 0.2226 0.7704
O12 O 0.3655 0.2774 0.2704
O13 O 0.6345 0.7226 0.7296
O14 O 0.6345 0.7774 0.2296
O15 O 0.6501 0.1772 0.6287
O16 O 0.6501 0.3228 0.1287
O17 O 0.6792 0.6282 0.4233
O18 O 0.6792 0.8718 0.9233
O19 O 0.7779 0.5822 0.9221
O20 O 0.7779 0.9178 0.4221
O21 O 0.8168 0.2165 0.9235
O22 O 0.8168 0.2835 0.4235
O23 O 0.8728 0.0339 0.1659
O24 O 0.8728 0.4661 0.6659



[2]
# LuHfRh2 | the Alexandria database | GGA-PBEsol | optimized geometry
# Energy of formation: -87 kJ per mole of atoms
# Space group: No. 225
data_LuHfRh2
_cell_length_a 4.6066
_cell_length_b 4.6066
_cell_length_c 4.6066
_cell_angle_alpha 60.00
_cell_angle_beta 60.00
_cell_angle_gamma 60.00
_space_group_name_H-M_alt 'P 1'
_space_group_IT_number 1
_space_group_name_Hall 'P 1'
loop_
_atom_site_label
_atom_site_type_symbol
_atom_site_fract_x
_atom_site_fract_y
_atom_site_fract_z
Lu1 Lu 0.0000 0.0000 0.0000
Hf1 Hf 0.5000 0.5000 0.5000
Rh1 Rh 0.2500 0.2500 0.2500
Rh2 Rh 0.7500 0.7500 0.7500



[3]
# TaOs3 | the Alexandria database | GGA-PBEsol | optimized geometry
# Energy of formation: 330 kJ per mole of atoms
# Space group: No. 221
data_TaOs3
_cell_length_a 4.7458
_cell_length_b 4.7458
_cell_length_c 4.7458
_cell_angle_alpha 90.00
_cell_angle_beta 90.00
_cell_angle_gamma 90.00
_space_group_name_H-M_alt 'P 1'
_space_group_IT_number 1
_space_group_name_Hall 'P 1'
loop_
_atom_site_label
_atom_site_type_symbol
_atom_site_fract_x
_atom_site_fract_y
_atom_site_fract_z
Ta1 Ta 0.0000 0.0000 0.0000
Os1 Os 0.0000 0.0000 0.5000
Os2 Os 0.0000 0.5000 0.0000
Os3 Os 0.5000 0.0000 0.0000



[4]
# Na2In5Au6 | the Alexandria database | GGA-PBEsol | optimized geometry
# Energy of formation: -28 kJ per mole of atoms
# Space group: No. 200
data_Na2In5Au6
_cell_length_a 9.2545
_cell_length_b 9.2545
_cell_length_c 9.2545
_cell_angle_alpha 90.00
_cell_angle_beta 90.00
_cell_angle_gamma 90.00
_space_group_name_H-M_alt 'P 1'
_space_group_IT_number 1
_space_group_name_Hall 'P 1'
loop_
_atom_site_label
_atom_site_type_symbol
_atom_site_fract_x
_atom_site_fract_y
_atom_site_fract_z
Na1 Na 0.0000 0.3283 0.5000
Na2 Na 0.0000 0.6717 0.5000
Na3 Na 0.3283 0.5000 0.0000
Na4 Na 0.5000 0.0000 0.3283
Na5 Na 0.5000 0.0000 0.6717
Na6 Na 0.6717 0.5000 0.0000
In1 In 0.0000 0.5000 0.1640
In2 In 0.0000 0.5000 0.8360
In3 In 0.1640 0.0000 0.5000
In4 In 0.2170 0.2170 0.2170
In5 In 0.2170 0.2170 0.7830
In6 In 0.2170 0.7830 0.2170
In7 In 0.2170 0.7830 0.7830
In8 In 0.5000 0.1640 0.0000
In9 In 0.5000 0.5000 0.5000
In10 In 0.5000 0.8360 0.0000
In11 In 0.7830 0.2170 0.2170
In12 In 0.7830 0.2170 0.7830
In13 In 0.7830 0.7830 0.2170
In14 In 0.7830 0.7830 0.7830
In15 In 0.8360 0.0000 0.5000
Au1 Au 0.0000 0.0000 0.2356
Au2 Au 0.0000 0.0000 0.7644
Au3 Au 0.0000 0.2356 0.0000
Au4 Au 0.0000 0.7644 0.0000
Au5 Au 0.2356 0.0000 0.0000
Au6 Au 0.2414 0.5000 0.3277
Au7 Au 0.2414 0.5000 0.6723
Au8 Au 0.3277 0.2414 0.5000
Au9 Au 0.3277 0.7586 0.5000
Au10 Au 0.5000 0.3277 0.2414
Au11 Au 0.5000 0.3277 0.7586
Au12 Au 0.5000 0.6723 0.2414
Au13 Au 0.5000 0.6723 0.7586
Au14 Au 0.6723 0.2414 0.5000
Au15 Au 0.6723 0.7586 0.5000
Au16 Au 0.7586 0.5000 0.3277
Au17 Au 0.7586 0.5000 0.6723
Au18 Au 0.7644 0.0000 0.0000